# PmAlCuHg

A geometry-optimized PmAlCuHg structure (GGA-PBE, Alexandria via LeMat-Bulk). Values from VASP.

Summary:
Space group ... F-43m, No. 216
DFT formation energy ... -0.25 eV/atom

Structure (Quantum ESPRESSO input):
```
&SYSTEM
  ibrav = 0, nat = 4, ntyp = 4
/
ATOMIC_SPECIES
Pm 145.00 Pm.upf
Al 26.98 Al.upf
Cu 63.55 Cu.upf
Hg 200.59 Hg.upf
CELL_PARAMETERS angstrom
0.000 3.462 3.462
3.462 0.000 3.462
3.462 3.462 0.000
ATOMIC_POSITIONS angstrom
Pm 0.000 0.000 0.000
Al 3.462 3.462 3.462
Cu 1.731 1.731 1.731
Hg 5.194 5.194 5.194
```